1.
Material: MnRu2F
Method: DFT, PBE with a Hubbard U
State: optimized geometry

As for the calculated total energy: -6.489 eV per atom.

The structure belongs to space group Fm-3m (No. 225); the cell edges are 6.027, 6.027 and 6.027 Å and the angles 90.00°, 90.00° and 90.00°. Symmetry generates all atoms from Mn at (0.000, 0.000, 0.000), Ru at (0.250, 0.250, 0.250) and F at (0.000, 0.000, 0.500).

=====

2.
Material: Mn2RuF8
Method: DFT, PBE with a Hubbard U
State: optimized geometry

As for the calculated total energy: -5.759 eV per atom.

The structure belongs to space group C2/m (No. 12); the cell edges are 9.289, 7.017 and 4.484 Å and the angles 90.00°, 106.68° and 90.00°. Symmetry generates all atoms from Mn at (0.146, 0.000, 0.346), Ru at (0.000, 0.500, 0.000), F at (0.090, 0.000, 0.792), F at (0.134, 0.500, 0.753) and F at (0.135, 0.307, 0.264).

=====

3.
Material: SrMnRuF2
Method: DFT, PBE with a Hubbard U
State: optimized geometry

As for the calculated total energy: -5.055 eV per atom.

The structure belongs to space group P4/mmm (No. 123); the cell edges are 4.538, 4.538 and 4.849 Å and the angles 90.00°, 90.00° and 90.00°. Symmetry generates all atoms from Sr at (0.000, 0.000, 0.000), Mn at (0.500, 0.500, 0.000), Ru at (0.500, 0.500, 0.500) and F at (0.000, 0.500, 0.500).

=====

4.
Material: SrMn2RuF
Method: DFT, PBE with a Hubbard U
State: optimized geometry

As for the calculated total energy: -5.448 eV per atom.

The structure belongs to space group P4/mmm (No. 123); the cell edges are 5.003, 5.003 and 4.651 Å and the angles 90.00°, 90.00° and 90.00°. Symmetry generates all atoms from Sr at (0.000, 0.000, 0.000), Mn at (0.000, 0.500, 0.500), Ru at (0.500, 0.500, 0.500) and F at (0.500, 0.500, 0.000).

=====

5.
Material: MnTcRuF2
Method: DFT, PBE with a Hubbard U
State: optimized geometry

As for the calculated total energy: -5.953 eV per atom.

The structure belongs to space group P4/mmm (No. 123); the cell edges are 3.957, 3.957 and 5.810 Å and the angles 90.00°, 90.00° and 90.00°. Symmetry generates all atoms from Mn at (0.000, 0.000, 0.000), Tc at (0.000, 0.000, 0.500), Ru at (0.500, 0.500, 0.000) and F at (0.000, 0.500, 0.500).

=====

6.
Material: MnTcRu2F
Method: DFT, PBE with a Hubbard U
State: optimized geometry

As for the calculated total energy: -6.770 eV per atom.

The structure belongs to space group P4/mmm (No. 123); the cell edges are 4.290, 4.290 and 4.037 Å and the angles 90.00°, 90.00° and 90.00°. Symmetry generates all atoms from Mn at (0.000, 0.000, 0.000), Tc at (0.500, 0.500, 0.000), Ru at (0.000, 0.500, 0.500) and F at (0.500, 0.500, 0.500).

=====

7.
Material: Mn2TeRuF
Method: DFT, PBE with a Hubbard U
State: optimized geometry

As for the calculated total energy: -5.816 eV per atom.

The structure belongs to space group P4/mmm (No. 123); the cell edges are 5.084, 5.084 and 4.022 Å and the angles 90.00°, 90.00° and 90.00°. Symmetry generates all atoms from Mn at (0.000, 0.500, 0.000), Te at (0.000, 0.000, 0.500), Ru at (0.500, 0.500, 0.000) and F at (0.500, 0.500, 0.500).

=====

8.
Material: MnTlRuF2
Method: DFT, PBE with a Hubbard U
State: optimized geometry

As for the calculated total energy: -5.385 eV per atom.

The structure belongs to space group P4/mmm (No. 123); the cell edges are 3.955, 3.955 and 5.810 Å and the angles 90.00°, 90.00° and 90.00°. Symmetry generates all atoms from Mn at (0.000, 0.000, 0.000), Tl at (0.500, 0.500, 0.500), Ru at (0.000, 0.000, 0.500) and F at (0.000, 0.500, 0.000).

=====

9.
Material: MnRuW2F
Method: DFT, PBE with a Hubbard U
State: optimized geometry

As for the calculated total energy: -5.207 eV per atom.

The structure belongs to space group P4/mmm (No. 123); the cell edges are 4.814, 4.814 and 5.138 Å and the angles 90.00°, 90.00° and 90.00°. Symmetry generates all atoms from Mn at (0.000, 0.000, 0.000), Ru at (0.000, 0.000, 0.500), W at (0.000, 0.500, 0.500) and F at (0.500, 0.500, 0.000).

=====

10.
Material: Mn2RuWF
Method: DFT, PBE with a Hubbard U
State: optimized geometry

As for the calculated total energy: -5.362 eV per atom.

The structure belongs to space group P4/mmm (No. 123); the cell edges are 5.312, 5.312 and 4.653 Å and the angles 90.00°, 90.00° and 90.00°. Symmetry generates all atoms from Mn at (0.000, 0.500, 0.000), Ru at (0.000, 0.000, 0.500), W at (0.000, 0.000, 0.000) and F at (0.500, 0.500, 0.500).

=====

11.
Material: MnSF2
Method: DFT, PBE with a Hubbard U
State: optimized geometry

As for the calculated total energy: -5.252 eV per atom.

The structure belongs to space group R-3m (No. 166, hexagonal axes); the cell edges are 3.1100, 3.1100 and 27.9945 Å and the angles 90.00°, 90.00° and 120.00°. Symmetry generates all atoms from Mn at (0.0000, 0.0000, 0.0000), S at (0.0000, 0.0000, 0.5000) and F at (0.0000, 0.0000, 0.3728).

=====

12.
Material: Mn3SF
Method: DFT, PBE with a Hubbard U
State: optimized geometry

As for the calculated total energy: -5.681 eV per atom.

The structure belongs to space group Pm-3m (No. 221); the cell edges are 4.546, 4.546 and 4.546 Å and the angles 90.00°, 90.00° and 90.00°. Symmetry generates all atoms from Mn at (0.000, 0.000, 0.500), S at (0.500, 0.500, 0.500) and F at (0.000, 0.000, 0.000).